The following is a DFT calculation (PBE-GGA) of PmSm6Y3Ho2 after structural relaxation.

Unit cell a=6.240 b=10.805 c=11.889 alpha=90.00 beta=100.04 gamma=90.00
Space group C2/m (No. 12)
Unique sites:
1 Pm 0.000 0.000 0.000 [2 per cell]
2 Sm 0.249 0.333 0.750 [8 per cell]
3 Sm 0.250 0.000 0.750 [4 per cell]
4 Y 0.000 0.167 0.500 [4 per cell]
5 Y 0.000 0.500 0.500 [2 per cell]
6 Ho 0.000 0.333 0.000 [4 per cell]

energy of formation	0.3	kcal/mol of atoms
magnetization	0.00	Bohr magnetons per cell
total energy	-5.121	eV per atom



The following is a DFT calculation (PBE-GGA) of PmPr2SmRh2 after structural relaxation.

Unit cell a=15.244 b=6.874 c=6.867 alpha=90.00 beta=112.08 gamma=90.00
Space group C2/m (No. 12)
Unique sites:
1 Pm 0.000 0.242 0.000 [4 per cell]
2 Pr 0.193 0.500 0.949 [4 per cell]
3 Pr 0.194 0.000 0.454 [4 per cell]
4 Sm 0.000 0.257 0.500 [4 per cell]
5 Rh 0.114 0.500 0.324 [4 per cell]
6 Rh 0.115 0.000 0.822 [4 per cell]

energy of formation	-10.8	kcal/mol of atoms
magnetization	0.00	Bohr magnetons per cell
total energy	-6.091	eV per atom



The following is a DFT calculation (PBE-GGA) of ErIn2Sn after structural relaxation.

Unit cell a=6.180 b=8.627 c=7.710 alpha=90.00 beta=90.00 gamma=90.00
Space group Imma (No. 74)
Unique sites:
1 Er 0.000 0.250 0.062 [4 per cell]
2 In 0.250 0.039 0.750 [8 per cell]
3 Sn 0.000 0.250 0.476 [4 per cell]

energy of formation	-8.0	kcal/mol of atoms
excess energy over the best structure of this formula in the dataset	16	kJ/mol of formula units
magnetization	0.00	Bohr magnetons per cell
total energy	-3.858	eV per atom



The following is a DFT calculation (PBE-GGA) of Sr2IrAu after structural relaxation.

Unit cell a=11.625 b=3.552 c=5.202 alpha=90.00 beta=106.10 gamma=90.00
Space group Cm (No. 8)
Unique sites:
1 Sr 0.000 0.000 0.000 [2 per cell]
2 Sr 0.199 0.000 0.642 [2 per cell]
3 Ir 0.452 0.000 0.477 [2 per cell]
4 Au 0.268 0.500 0.200 [2 per cell]

energy of formation	-4.8	kcal/mol of atoms
magnetization	0.00	Bohr magnetons per cell
total energy	-4.084	eV per atom



The following is a DFT calculation (PBE-GGA) of La6Sm2DyHo after structural relaxation.

Unit cell a=11.531 b=7.013 c=9.235 alpha=90.00 beta=107.58 gamma=90.00
Space group C2/m (No. 12)
Unique sites:
1 La 0.128 0.000 0.421 [4 per cell]
2 La 0.195 0.268 0.802 [8 per cell]
3 Sm 0.074 0.500 0.172 [4 per cell]
4 Dy 0.000 0.500 0.500 [2 per cell]
5 Ho 0.000 0.000 0.000 [2 per cell]

energy of formation	4.3	kcal/mol of atoms
magnetization	0.00	Bohr magnetons per cell
total energy	-4.632	eV per atom



The following is a DFT calculation (PBE-GGA) of Ge2SbTe6 after structural relaxation.

Unit cell a=13.762 b=12.579 c=7.143 alpha=90.00 beta=98.73 gamma=90.00
Space group C2/c (No. 15)
Unique sites:
1 Ge 0.193 0.079 0.324 [8 per cell]
2 Sb 0.000 0.390 0.250 [4 per cell]
3 Te 0.112 0.399 0.658 [8 per cell]
4 Te 0.129 0.233 0.085 [8 per cell]
5 Te 0.130 0.104 0.656 [8 per cell]

magnetization	0.00	Bohr magnetons per cell
formation energy without anion corrections	0.0411	eV/atom
total energy	-3.537	eV per atom



The following is a DFT calculation (PBE-GGA) of Ac3Si2Pt9Au after structural relaxation.

Unit cell a=7.4679 b=7.4679 c=6.8660 alpha=90.00 beta=90.00 gamma=120.00
Space group P-3m1 (No. 164)
Unique sites:
1 Ac 0.0000 0.0000 0.0000 [1 per cell]
2 Ac 0.3333 0.6667 0.6550 [2 per cell]
3 Si 0.3333 0.6667 0.1426 [2 per cell]
4 Pt 0.0000 0.5000 0.0000 [3 per cell]
5 Pt 0.1779 0.3558 0.3128 [6 per cell]
6 Au 0.0000 0.0000 0.5000 [1 per cell]

magnetization	0.00	Bohr magnetons per cell
formation energy without anion corrections	-0.6761	eV/atom
total energy	-6.064	eV per atom



The following is a DFT calculation (PBE-GGA) of SmPHRh2 after structural relaxation.

Unit cell a=3.817 b=10.609 c=7.091 alpha=90.00 beta=90.00 gamma=90.00
Space group Cmcm (No. 63)
Unique sites:
1 Sm 0.000 0.056 0.250 [4 per cell]
2 P 0.000 0.224 0.750 [4 per cell]
3 H 0.000 0.500 0.000 [4 per cell]
4 Rh 0.000 0.337 0.056 [8 per cell]

magnetization	0.00	Bohr magnetons per cell
total energy	-6.533	eV per atom